Record 1
CeThHg2: optimized geometry, PBE-GGA.

Geometry as POSCAR:
```
CeThHg2
1.0
5.421 0.000 0.000
2.711 4.695 0.000
2.711 1.565 4.427
Hg Th Ce
2 1 1
Cartesian
8.132 4.695 3.320
2.711 1.565 1.107
5.421 3.130 2.213
0.000 0.000 0.000
```

Output
Its density of states at the Fermi level is 9.7 states/eV/cell. The calculation puts the energy above the lowest structure with this stoichiometry at 34.4 meV per atom. Its space group is Fm-3m.

Record 2
CeTh2Hg: optimized geometry, PBE-GGA.

Geometry as POSCAR:
```
CeTh2Hg
1.0
3.364 0.000 0.000
1.682 2.913 0.000
1.682 0.971 12.048
Th Ce Hg
2 1 1
Cartesian
1.682 0.971 8.772
5.046 2.913 3.276
0.000 0.000 0.000
3.364 1.942 6.024
```

Output
Its density of states at the Fermi level is 6.8 states/eV/cell. The calculation puts the energy above the lowest structure with this stoichiometry at 239.5 meV per atom. Its space group is R-3m.

Record 3
Ce2ThHg4: optimized geometry, PBE-GGA.

Geometry as POSCAR:
```
Ce2ThHg4
1.0
5.833 0.000 0.000
0.000 5.833 0.000
-2.916 -2.916 7.903
Hg Th Ce
4 1 2
Cartesian
0.000 2.916 0.000
2.916 2.916 4.752
2.916 0.000 0.000
0.000 0.000 3.151
0.000 0.000 0.000
2.916 2.916 1.539
0.000 0.000 6.364
```

Output
Its density of states at the Fermi level is 20.0 states/eV/cell. The calculation puts the energy above the lowest structure with this stoichiometry at 352.9 meV per atom. Its space group is I4/mmm.

Q: energy above the lowest structure with this stoichiometry of number 2 (CeTh2Hg)?
A: 239.5 meV per atom

Copy entry 3 word for word.
Ce2ThHg4: optimized geometry, PBE-GGA.

Geometry as POSCAR:
```
Ce2ThHg4
1.0
5.833 0.000 0.000
0.000 5.833 0.000
-2.916 -2.916 7.903
Hg Th Ce
4 1 2
Cartesian
0.000 2.916 0.000
2.916 2.916 4.752
2.916 0.000 0.000
0.000 0.000 3.151
0.000 0.000 0.000
2.916 2.916 1.539
0.000 0.000 6.364
```

Output
Its density of states at the Fermi level is 20.0 states/eV/cell. The calculation puts the energy above the lowest structure with this stoichiometry at 352.9 meV per atom. Its space group is I4/mmm.